# 1
## Tb2Mn3Sb3O14 (GGA+U)

Data for a relaxed structure of Tb2Mn3Sb3O14.

## Properties
E_tot = -7.193 eV per atom

a b c (Å): 7.1875 7.1875 7.2869
angles (deg): 61.33 61.33 61.62
Each line ends with the local moment (μB).
Fractional coordinates of all 22 atoms:
1 Mn 0.0000 0.0000 0.0000  4.65
2 Mn 0.0000 0.0000 0.5000  4.68
3 Mn 0.5000 0.5000 0.5000  3.89
4 Sb 0.0000 0.5000 0.5000  0.01
5 Sb 0.5000 0.0000 0.5000  0.01
6 Sb 0.5000 0.5000 0.0000  0.01
7 Tb 0.0000 0.5000 0.0000  0.02
8 Tb 0.5000 0.0000 0.0000  0.02
9 O 0.5686 0.1738 0.5898  -0.02
10 O 0.5834 0.1700 0.1745  0.01
11 O 0.8280 0.8280 0.4361  0.02
12 O 0.4075 0.4075 0.8543  0.04
13 O 0.5925 0.5925 0.1457  0.04
14 O 0.1720 0.1720 0.5639  0.02
15 O 0.8262 0.4314 0.4102  -0.02
16 O 0.1165 0.1165 0.1305  0.02
17 O 0.1700 0.5834 0.1745  0.01
18 O 0.8835 0.8835 0.8695  0.02
19 O 0.1738 0.5686 0.5898  -0.02
20 O 0.4314 0.8262 0.4102  -0.02
21 O 0.8300 0.4166 0.8255  0.01
22 O 0.4166 0.8300 0.8255  0.01

***

# 2
## Mn2TcSbO6 (GGA+U)

Data for a relaxed structure of Mn2TcSbO6.

## Properties
E_tot = -7.329 eV per atom
N(E_F) = 1.2 states/eV/f.u.

a b c (Å): 5.4547 5.4560 5.7090
angles (deg): 61.46 61.45 60.00
Each line ends with the local moment (μB).
Fractional coordinates of all 10 atoms:
1 O 0.0901 0.4481 0.7575  0.06
2 O 0.1941 0.9262 0.2663  0.02
3 O 0.6135 0.1941 0.2662  0.02
4 O 0.4482 0.7041 0.7576  0.06
5 O 0.7040 0.0902 0.7576  0.06
6 O 0.9261 0.6137 0.2662  0.02
7 Tc 0.8159 0.8157 0.5527  2.00
8 Mn 0.5283 0.5283 0.4151  4.63
9 Mn 0.0300 0.0298 0.9102  4.64
10 Sb 0.3115 0.3114 0.0658  -0.06

***

# 3
## TiMn2SbO6 (GGA+U)

Data for a relaxed structure of TiMn2SbO6.

## Properties
E_tot = -7.414 eV per atom
N(E_F) = 1.6 states/eV/f.u.

a b c (Å): 4.8436 5.3870 5.3870
angles (deg): 90.00 90.00 90.00
Each line ends with the local moment (μB).
Fractional coordinates of all 10 atoms:
1 O 0.7335 0.7556 0.2444  0.04
2 O 0.7335 0.7556 0.7556  0.04
3 O 0.7335 0.2444 0.2444  0.04
4 O 0.7335 0.2444 0.7556  0.04
5 O 0.1744 0.5000 0.5000  0.01
6 O 0.2366 0.0000 0.0000  0.01
7 Sb 0.5792 0.5000 0.5000  -0.01
8 Mn 0.9636 0.0000 0.5000  4.65
9 Mn 0.9636 0.5000 0.0000  4.65
10 Ti 0.5951 0.0000 0.0000  0.01

***

# 4
## TiMnSbO6 (GGA+U)

Data for a relaxed structure of TiMnSbO6.

## Properties
E_tot = -7.335 eV per atom
N(E_F) = 2.8 states/eV/f.u.

a b c (Å): 5.1525 5.1525 8.9021
angles (deg): 90.00 90.00 120.00
Each line ends with the local moment (μB).
Fractional coordinates of all 18 atoms:
1 O 0.9956 0.6531 0.8692  -0.06
2 O 0.3425 0.3469 0.3692  -0.06
3 O 0.6531 0.6575 0.1308  -0.06
4 O 0.3469 0.3425 0.8692  -0.06
5 O 0.6531 0.9956 0.3692  -0.06
6 O 0.3469 0.0044 0.6308  -0.06
7 O 0.3425 0.9956 0.1308  -0.06
8 O 0.6575 0.0044 0.8692  -0.06
9 O 0.9956 0.3425 0.6308  -0.06
10 O 0.6575 0.6531 0.6308  -0.06
11 O 0.0044 0.6575 0.3692  -0.06
12 O 0.0044 0.3469 0.1308  -0.06
13 Ti 0.6667 0.3333 0.7500  0.07
14 Ti 0.3333 0.6667 0.2500  0.07
15 Sb 0.3333 0.6667 0.7500  0.02
16 Sb 0.6667 0.3333 0.2500  0.02
17 Mn 0.0000 0.0000 0.0000  4.16
18 Mn 0.0000 0.0000 0.5000  4.16

***

# 5
## TmMn2SbO6 (GGA+U)

Data for a relaxed structure of TmMn2SbO6.

## Properties
E_tot = -7.451 eV per atom
N(E_F) = 0.0 states/eV/f.u.

a b c (Å): 5.4834 5.4834 5.7968
angles (deg): 61.77 61.77 60.00
Each line ends with the local moment (μB).
Fractional coordinates of all 10 atoms:
1 O 0.5825 0.2110 0.2530  0.04
2 O 0.4192 0.6890 0.7750  0.04
3 O 0.9534 0.5825 0.2531  0.04
4 O 0.1169 0.4192 0.7750  0.04
5 O 0.6890 0.1169 0.7749  0.04
6 O 0.2111 0.9534 0.2530  0.04
7 Sb 0.3189 0.3189 0.0433  0.02
8 Mn 0.0269 0.0269 0.9193  4.63
9 Mn 0.5323 0.5323 0.4029  4.63
10 Tm 0.8115 0.8114 0.5657  0.01

***

# 6
## Tm2MnSbO6 (GGA+U)

Data for a relaxed structure of Tm2MnSbO6.

## Properties
E_tot = -7.272 eV per atom
N(E_F) = 2.8 states/eV/f.u.

a b c (Å): 5.3555 5.1981 5.1981
angles (deg): 90.00 90.00 90.00
Each line ends with the local moment (μB).
Fractional coordinates of all 10 atoms:
1 Tm 0.9849 0.0000 0.5000  0.03
2 Tm 0.9849 0.5000 0.0000  0.03
3 O 0.7504 0.2470 0.7530  0.06
4 O 0.7504 0.7530 0.7530  0.06
5 O 0.1813 0.0000 0.0000  0.17
6 O 0.7504 0.7530 0.2470  0.06
7 O 0.1705 0.5000 0.5000  0.04
8 O 0.7504 0.2470 0.2470  0.06
9 Sb 0.5758 0.0000 0.0000  0.12
10 Mn 0.5476 0.5000 0.5000  4.57

***

# 7
## UMnSb2O8 (GGA+U)

Data for a relaxed structure of UMnSb2O8.

## Properties
E_tot = -7.502 eV per atom
N(E_F) = 4.5 states/eV/f.u.

a b c (Å): 4.9923 4.9921 6.6119
angles (deg): 90.00 90.00 89.06
Each line ends with the local moment (μB).
Fractional coordinates of all 12 atoms:
1 Mn 0.0000 0.0000 0.5000  4.62
2 O 0.8016 0.1985 0.2371  0.00
3 O 0.6857 0.6859 0.0000  -0.01
4 O 0.6852 0.6851 0.5000  0.01
5 O 0.3148 0.3149 0.5000  0.01
6 O 0.1984 0.8015 0.2371  0.00
7 O 0.8016 0.1985 0.7629  0.00
8 O 0.1984 0.8015 0.7629  0.00
9 O 0.3143 0.3141 0.0000  -0.01
10 Sb 0.5000 0.5000 0.7418  0.00
11 Sb 0.5000 0.5000 0.2582  0.00
12 U 0.0000 0.0000 0.0000  0.56

***

# 8
## UMnSbO6 (GGA+U)

Data for a relaxed structure of UMnSbO6.

## Properties
E_tot = -7.930 eV per atom
N(E_F) = 1.2 states/eV/f.u.

a b c (Å): 5.5006 5.5006 9.3176
angles (deg): 90.00 90.00 120.00
Each line ends with the local moment (μB).
Fractional coordinates of all 18 atoms:
1 Sb 0.6667 0.3333 0.7500  0.01
2 Sb 0.3333 0.6667 0.2500  0.01
3 O 0.9790 0.6420 0.8672  -0.01
4 O 0.3580 0.0210 0.6328  -0.01
5 O 0.3370 0.3580 0.3672  -0.01
6 O 0.0210 0.3580 0.1328  -0.01
7 O 0.6630 0.6420 0.6328  -0.01
8 O 0.9790 0.3370 0.6328  -0.01
9 O 0.6420 0.6630 0.1328  -0.01
10 O 0.0210 0.6630 0.3672  -0.01
11 O 0.6630 0.0210 0.8672  -0.01
12 O 0.3370 0.9790 0.1328  -0.01
13 O 0.3580 0.3370 0.8672  -0.01
14 O 0.6420 0.9790 0.3672  -0.01
15 U 0.3333 0.6667 0.7500  1.15
16 U 0.6667 0.3333 0.2500  1.15
17 Mn 0.0000 0.0000 0.0000  4.66
18 Mn 0.0000 0.0000 0.5000  4.66